(1)
A plane-wave DFT calculation with PBE was carried out for an optimized crystal structure of Sr2OsRh.

```
4
Lattice="-0.888 3.676 -2.212 -2.842 1.485 3.608 2.770 3.145 4.115" Properties=species:S:1:pos:R:3 pbc="T T T"
Sr -0.265 4.324 7.293
Rh -0.115 4.946 3.929
Os -0.422 2.677 4.619
Sr -0.266 3.302 1.257
```

- space group = Amm2, No. 38
- energy of formation from the pure elements (eV per atom) = 0.14
- relative energy among the computed polymorphs (kcal/mol of atoms) = 0.00
- V (Å³ per cell) = 113.24
- final energy (eV per atom) = -5.3494

=====

(2)
A plane-wave DFT calculation with PBE was carried out for an optimized crystal structure of SrOsRh2.

```
4
Lattice="-2.389 -0.915 1.306 2.011 -4.751 0.351 1.894 1.116 4.245" Properties=species:S:1:pos:R:3 pbc="T T T"
Rh -0.189 -2.833 0.829
Sr -0.247 0.100 2.776
Rh 0.000 0.000 0.000
Os 1.953 -1.818 2.298
```

- space group = Pmmm, No. 47
- energy of formation from the pure elements (eV per atom) = 0.71
- relative energy among the computed polymorphs (kcal/mol of atoms) = 10.33
- V (Å³ per cell) = 71.00
- final energy (eV per atom) = -6.1968

=====

(3)
A plane-wave DFT calculation with PBE was carried out for an optimized crystal structure of SrOs2Rh.

```
4
Lattice="4.740 0.006 -0.021 3.861 2.750 -0.021 1.036 0.332 5.980" Properties=species:S:1:pos:R:3 pbc="T T T"
Os 8.563 2.744 0.581
Os 2.360 0.757 1.284
Rh 4.916 1.575 2.619
Sr 7.219 2.314 4.383
```

- space group = Cm, No. 8
- energy of formation from the pure elements (eV per atom) = 0.52
- relative energy among the computed polymorphs (kcal/mol of atoms) = 2.14
- V (Å³ per cell) = 77.89
- final energy (eV per atom) = -7.3547

=====

(4)
A plane-wave DFT calculation with PBE was carried out for an optimized crystal structure of SrOs2Rh.

```
4
Lattice="4.321 0.000 0.000 0.000 2.809 0.039 0.000 1.297 6.176" Properties=species:S:1:pos:R:3 pbc="T T T"
Sr 2.161 2.911 4.512
Rh 0.000 1.534 2.860
Os 2.161 1.552 1.361
Os 0.000 0.162 0.590
```

- space group = Pm, No. 6
- energy of formation from the pure elements (eV per atom) = 0.48
- relative energy among the computed polymorphs (kcal/mol of atoms) = 1.30
- V (Å³ per cell) = 74.74
- final energy (eV per atom) = -7.3909

=====

(5)
A plane-wave DFT calculation with PBE was carried out for an optimized crystal structure of Sr2OsRh.

```
4
Lattice="-3.206 2.106 4.678 -5.204 2.027 2.325 -2.706 -4.222 2.440" Properties=species:S:1:pos:R:3 pbc="T T T"
Rh -8.771 -0.005 7.448
Os -5.125 -0.113 4.356
Sr -2.746 -3.821 2.460
Sr -2.737 -0.415 2.339
```

- space group = Cm, No. 8
- energy of formation from the pure elements (eV per atom) = 0.39
- relative energy among the computed polymorphs (kcal/mol of atoms) = 5.91
- V (Å³ per cell) = 94.60
- final energy (eV per atom) = -5.0931

=====

(6)
A plane-wave DFT calculation with PBE was carried out for an optimized crystal structure of SrOs2Rh.

```
4
Lattice="2.857 0.000 0.000 0.000 4.719 0.000 0.000 0.000 5.186" Properties=species:S:1:pos:R:3 pbc="T T T"
Rh 1.429 0.000 2.593
Sr 0.000 2.360 2.593
Os 1.429 2.360 0.000
Os 0.000 0.000 0.000
```

- space group = Pmmm, No. 47
- energy of formation from the pure elements (eV per atom) = 0.80
- relative energy among the computed polymorphs (kcal/mol of atoms) = 8.66
- V (Å³ per cell) = 69.92
- final energy (eV per atom) = -7.0720

=====

(7)
A plane-wave DFT calculation with PBE was carried out for an optimized crystal structure of Sr2OsRh.

```
4
Lattice="2.604 -3.797 2.216 -0.086 -0.531 5.081 -2.504 -3.919 2.117" Properties=species:S:1:pos:R:3 pbc="T T T"
Sr 0.004 -2.062 2.353
Rh 0.000 0.000 0.000
Sr 0.011 -6.186 7.060
Os 0.007 -4.124 4.707
```

- space group = Fm-3m, No. 225
- energy of formation from the pure elements (eV per atom) = 0.69
- relative energy among the computed polymorphs (kcal/mol of atoms) = 12.76
- V (Å³ per cell) = 94.32
- final energy (eV per atom) = -4.7958

=====

(8)
A plane-wave DFT calculation with PBE was carried out for an optimized crystal structure of SrOs2Rh.

```
4
Lattice="-8.161 5.990 0.195 -9.467 3.546 0.568 -8.409 4.915 2.764" Properties=species:S:1:pos:R:3 pbc="T T T"
Sr -19.528 10.838 2.646
Os -25.758 14.296 3.490
Os -13.297 7.380 1.802
Rh -6.509 3.613 0.882
```

- space group = R-3m, No. 166
- energy of formation from the pure elements (eV per atom) = 0.85
- relative energy among the computed polymorphs (kcal/mol of atoms) = 9.84
- V (Å³ per cell) = 67.65
- final energy (eV per atom) = -7.0206